1.
# Pm2TmI GGA-PBE optimized geometry
data_Pm2TmI
_chemical_formula_sum 'Pm2 Tm1 I1'
_space_group_name_H-M_alt 'P 1'
_space_group_IT_number 1
_space_group_name_Hall 'P 1'
_cell_length_a 3.6770
_cell_length_b 3.6770
_cell_length_c 9.6073
_cell_angle_alpha 90.00
_cell_angle_beta 90.00
_cell_angle_gamma 90.00
loop_
_atom_site_label
_atom_site_fract_x
_atom_site_fract_y
_atom_site_fract_z
_atom_site_occupancy
Pm1 0.0000 0.0000 0.2437 1
Pm2 0.0000 0.0000 0.7563 1
Tm1 0.5000 0.5000 0.5000 1
I1 0.5000 0.5000 0.0000 1
# - Total magnetic moment: 0.0000 μB/atom
# - Symmetry: No. 123
# - Relative energy among the computed polymorphs: 1.22 kcal/mol of atoms
# - N(E_F): 3.9 states/eV/f.u.
# - Raw formation energy: -331 meV/atom



2.
# PmUI6 GGA-PBE optimized geometry
data_PmUI6
_chemical_formula_sum 'Pm2 U2 I12'
_space_group_name_H-M_alt 'P 1'
_space_group_IT_number 1
_space_group_name_Hall 'P 1'
_cell_length_a 7.6737
_cell_length_b 14.3730
_cell_length_c 7.6792
_cell_angle_alpha 90.00
_cell_angle_beta 108.05
_cell_angle_gamma 90.00
loop_
_atom_site_label
_atom_site_fract_x
_atom_site_fract_y
_atom_site_fract_z
_atom_site_occupancy
Pm1 0.0000 0.0000 0.0000 1
Pm2 0.5000 0.5000 0.0000 1
U1 0.0000 0.5000 0.5000 1
U2 0.5000 0.0000 0.5000 1
I1 0.2481 0.0000 0.7484 1
I2 0.2499 0.1509 0.2476 1
I3 0.2501 0.3491 0.7524 1
I4 0.2501 0.6509 0.7524 1
I5 0.2499 0.8491 0.2476 1
I6 0.2519 0.5000 0.2516 1
I7 0.7481 0.5000 0.7484 1
I8 0.7501 0.1509 0.7524 1
I9 0.7499 0.3491 0.2476 1
I10 0.7499 0.6509 0.2476 1
I11 0.7501 0.8491 0.7524 1
I12 0.7519 0.0000 0.2516 1
# - Total magnetic moment: 0.3751 μB/atom
# - Symmetry: No. 12
# - N(E_F): 4.4 states/eV/f.u.
# - Raw formation energy: -1071 meV/atom



3.
# PmVI GGA-PBE optimized geometry
data_PmVI
_chemical_formula_sum 'Pm4 V4 I4'
_space_group_name_H-M_alt 'P 1'
_space_group_IT_number 1
_space_group_name_Hall 'P 1'
_cell_length_a 3.9608
_cell_length_b 21.1966
_cell_length_c 4.2121
_cell_angle_alpha 90.00
_cell_angle_beta 90.00
_cell_angle_gamma 90.00
loop_
_atom_site_label
_atom_site_fract_x
_atom_site_fract_y
_atom_site_fract_z
_atom_site_occupancy
Pm1 0.0000 0.0882 0.2500 1
Pm2 0.0000 0.9118 0.7500 1
Pm3 0.5000 0.4118 0.7500 1
Pm4 0.5000 0.5882 0.2500 1
V1 0.0000 0.4788 0.2500 1
V2 0.0000 0.5212 0.7500 1
V3 0.5000 0.0212 0.7500 1
V4 0.5000 0.9788 0.2500 1
I1 0.0000 0.3336 0.2500 1
I2 0.0000 0.6664 0.7500 1
I3 0.5000 0.1664 0.7500 1
I4 0.5000 0.8336 0.2500 1
# - Total magnetic moment: 0.0708 μB/atom
# - Symmetry: No. 63
# - N(E_F): 2.5 states/eV/f.u.
# - Raw formation energy: -344 meV/atom



4.
# PmYI3 GGA-PBE optimized geometry
data_PmYI3
_chemical_formula_sum 'Pm2 Y2 I6'
_space_group_name_H-M_alt 'P 1'
_space_group_IT_number 1
_space_group_name_Hall 'P 1'
_cell_length_a 10.5008
_cell_length_b 10.5008
_cell_length_c 11.5879
_cell_angle_alpha 110.92
_cell_angle_beta 110.92
_cell_angle_gamma 22.82
loop_
_atom_site_label
_atom_site_fract_x
_atom_site_fract_y
_atom_site_fract_z
_atom_site_occupancy
Pm1 0.0740 0.0740 0.2460 1
Pm2 0.9260 0.9260 0.7540 1
Y1 0.4258 0.4258 0.0283 1
Y2 0.5742 0.5742 0.9717 1
I1 0.0798 0.0798 0.7676 1
I2 0.1897 0.1897 0.1318 1
I3 0.3644 0.3644 0.5403 1
I4 0.6356 0.6356 0.4597 1
I5 0.8103 0.8103 0.8682 1
I6 0.9202 0.9202 0.2324 1
# - Total magnetic moment: 0.0000 μB/atom
# - Symmetry: No. 12
# - N(E_F): 0.6 states/eV/f.u.
# - Raw formation energy: -1116 meV/atom



5.
# PmYI2 GGA-PBE optimized geometry
data_PmYI2
_chemical_formula_sum 'Pm3 Y3 I6'
_space_group_name_H-M_alt 'P 1'
_space_group_IT_number 1
_space_group_name_Hall 'P 1'
_cell_length_a 3.8361
_cell_length_b 3.8361
_cell_length_c 29.0798
_cell_angle_alpha 90.00
_cell_angle_beta 90.00
_cell_angle_gamma 120.00
loop_
_atom_site_label
_atom_site_fract_x
_atom_site_fract_y
_atom_site_fract_z
_atom_site_occupancy
Pm1 0.0000 0.0000 0.0000 1
Pm2 0.3333 0.6667 0.6667 1
Pm3 0.6667 0.3333 0.3333 1
Y1 0.0000 0.0000 0.1627 1
Y2 0.3333 0.6667 0.8294 1
Y3 0.6667 0.3333 0.4961 1
I1 0.0000 0.0000 0.5809 1
I2 0.0000 0.0000 0.7487 1
I3 0.3333 0.6667 0.2475 1
I4 0.3333 0.6667 0.4153 1
I5 0.6667 0.3333 0.0820 1
I6 0.6667 0.3333 0.9142 1
# - Total magnetic moment: 0.0000 μB/atom
# - Symmetry: No. 160
# - Relative energy among the computed polymorphs: 0.00 kcal/mol of atoms
# - N(E_F): 1.6 states/eV/f.u.
# - Raw formation energy: -766 meV/atom



6.
# Pm2YI GGA-PBE optimized geometry
data_Pm2YI
_chemical_formula_sum 'Pm6 Y3 I3'
_space_group_name_H-M_alt 'P 1'
_space_group_IT_number 1
_space_group_name_Hall 'P 1'
_cell_length_a 3.7987
_cell_length_b 3.7987
_cell_length_c 32.1887
_cell_angle_alpha 90.00
_cell_angle_beta 90.00
_cell_angle_gamma 120.00
loop_
_atom_site_label
_atom_site_fract_x
_atom_site_fract_y
_atom_site_fract_z
_atom_site_occupancy
Pm1 0.0000 0.0000 0.0000 1
Pm2 0.0000 0.0000 0.1542 1
Pm3 0.3333 0.6667 0.6667 1
Pm4 0.3333 0.6667 0.8209 1
Pm5 0.6667 0.3333 0.3333 1
Pm6 0.6667 0.3333 0.4876 1
Y1 0.0000 0.0000 0.5769 1
Y2 0.3333 0.6667 0.2435 1
Y3 0.6667 0.3333 0.9102 1
I1 0.0000 0.0000 0.7440 1
I2 0.3333 0.6667 0.4106 1
I3 0.6667 0.3333 0.0773 1
# - Total magnetic moment: 0.0917 μB/atom
# - Symmetry: No. 160
# - Relative energy among the computed polymorphs: 0.00 kcal/mol of atoms
# - N(E_F): 5.1 states/eV/f.u.
# - Raw formation energy: -403 meV/atom



7.
# Pm2YI GGA-PBE optimized geometry
data_Pm2YI
_chemical_formula_sum 'Pm2 Y1 I1'
_space_group_name_H-M_alt 'P 1'
_space_group_IT_number 1
_space_group_name_Hall 'P 1'
_cell_length_a 3.6926
_cell_length_b 3.6926
_cell_length_c 9.7090
_cell_angle_alpha 90.00
_cell_angle_beta 90.00
_cell_angle_gamma 90.00
loop_
_atom_site_label
_atom_site_fract_x
_atom_site_fract_y
_atom_site_fract_z
_atom_site_occupancy
Pm1 0.0000 0.0000 0.2405 1
Pm2 0.0000 0.0000 0.7595 1
Y1 0.5000 0.5000 0.5000 1
I1 0.5000 0.5000 0.0000 1
# - Total magnetic moment: 0.0000 μB/atom
# - Symmetry: No. 123
# - Relative energy among the computed polymorphs: 1.49 kcal/mol of atoms
# - N(E_F): 4.0 states/eV/f.u.
# - Raw formation energy: -339 meV/atom



8.
# Pm2YI GGA-PBE optimized geometry
data_Pm2YI
_chemical_formula_sum 'Pm6 Y3 I3'
_space_group_name_H-M_alt 'P 1'
_space_group_IT_number 1
_space_group_name_Hall 'P 1'
_cell_length_a 3.7964
_cell_length_b 3.7964
_cell_length_c 32.2947
_cell_angle_alpha 90.00
_cell_angle_beta 90.00
_cell_angle_gamma 120.00
loop_
_atom_site_label
_atom_site_fract_x
_atom_site_fract_y
_atom_site_fract_z
_atom_site_occupancy
Pm1 0.0000 0.0000 0.2452 1
Pm2 0.0000 0.0000 0.7548 1
Pm3 0.3333 0.6667 0.4214 1
Pm4 0.3333 0.6667 0.9119 1
Pm5 0.6667 0.3333 0.0881 1
Pm6 0.6667 0.3333 0.5786 1
Y1 0.0000 0.0000 0.0000 1
Y2 0.3333 0.6667 0.6667 1
Y3 0.6667 0.3333 0.3333 1
I1 0.0000 0.0000 0.5000 1
I2 0.3333 0.6667 0.1667 1
I3 0.6667 0.3333 0.8333 1
# - Total magnetic moment: 0.0001 μB/atom
# - Symmetry: No. 166
# - Relative energy among the computed polymorphs: 0.53 kcal/mol of atoms
# - N(E_F): 4.5 states/eV/f.u.
# - Raw formation energy: -380 meV/atom



9.
# PmYI GGA-PBE optimized geometry
data_PmYI
_chemical_formula_sum 'Pm2 Y2 I2'
_space_group_name_H-M_alt 'P 1'
_space_group_IT_number 1
_space_group_name_Hall 'P 1'
_cell_length_a 3.7278
_cell_length_b 3.7278
_cell_length_c 14.0856
_cell_angle_alpha 90.00
_cell_angle_beta 90.00
_cell_angle_gamma 90.00
loop_
_atom_site_label
_atom_site_fract_x
_atom_site_fract_y
_atom_site_fract_z
_atom_site_occupancy
Pm1 0.0000 0.0000 0.0000 1
Pm2 0.5000 0.5000 0.5000 1
Y1 0.0000 0.0000 0.3282 1
Y2 0.5000 0.5000 0.8282 1
I1 0.0000 0.0000 0.6697 1
I2 0.5000 0.5000 0.1697 1
# - Total magnetic moment: 0.0001 μB/atom
# - Symmetry: No. 107
# - Relative energy among the computed polymorphs: 2.39 kcal/mol of atoms
# - N(E_F): 4.0 states/eV/f.u.
# - Raw formation energy: -442 meV/atom



10.
# PmYI2 GGA-PBE optimized geometry
data_PmYI2
_chemical_formula_sum 'Pm3 Y3 I6'
_space_group_name_H-M_alt 'P 1'
_space_group_IT_number 1
_space_group_name_Hall 'P 1'
_cell_length_a 3.9007
_cell_length_b 3.9007
_cell_length_c 32.2400
_cell_angle_alpha 90.00
_cell_angle_beta 90.00
_cell_angle_gamma 120.00
loop_
_atom_site_label
_atom_site_fract_x
_atom_site_fract_y
_atom_site_fract_z
_atom_site_occupancy
Pm1 0.0000 0.0000 0.0000 1
Pm2 0.3333 0.6667 0.6667 1
Pm3 0.6667 0.3333 0.3333 1
Y1 0.0000 0.0000 0.5000 1
Y2 0.3333 0.6667 0.1667 1
Y3 0.6667 0.3333 0.8333 1
I1 0.0000 0.0000 0.4041 1
I2 0.0000 0.0000 0.5959 1
I3 0.3333 0.6667 0.0708 1
I4 0.3333 0.6667 0.2626 1
I5 0.6667 0.3333 0.7374 1
I6 0.6667 0.3333 0.9292 1
# - Total magnetic moment: 0.0001 μB/atom
# - Symmetry: No. 166
# - Relative energy among the computed polymorphs: 1.20 kcal/mol of atoms
# - N(E_F): 2.6 states/eV/f.u.
# - Raw formation energy: -714 meV/atom